Computed, not measured: a geometry-optimized InNiPt14 structure at the GGA-PBE level of DFT.

Calculated total energy = -188.433 eV/cell
Volume = 504 Å³ per cell

abc: 9.314 5.588 9.681
angles: 90.00 90.00 90.00
Space group Amm2 (No. 38)
Symmetry-distinct sites (fractional):
In (0.000, 0.000, 0.000) x2
Ni (0.000, 0.000, 0.500) x2
Pt (0.000, 0.250, 0.250) x4
Pt (0.245, 0.000, 0.664) x4
Pt (0.246, 0.247, 0.416) x8
Pt (0.250, 0.000, 0.167) x4
Pt (0.500, 0.000, 0.333) x2
Pt (0.500, 0.000, 0.832) x2
Pt (0.500, 0.249, 0.583) x4



Computed, not measured: a geometry-optimized PuNiPd2 structure at the GGA-PBE level of DFT.

Calculated total energy = -125.249 eV/cell
Volume = 279 Å³ per cell

abc: 6.535 6.535 6.535
angles: 90.00 90.00 90.00
Space group Fm-3m (No. 225)
Symmetry-distinct sites (fractional):
Pu (0.000, 0.000, 0.000) x4
Ni (0.000, 0.000, 0.500) x4
Pd (0.250, 0.250, 0.250) x8



Computed, not measured: a geometry-optimized Sm6Ho3Tm2 structure at the GGA-PBE level of DFT.

Polymorph energy (0 for the lowest one) = 0.000 eV/atom
Volume = 1062 Å³ per cell

abc: 3.5763 3.5763 95.8368
angles: 90.00 90.00 120.00
Space group R-3m (No. 166, hexagonal axes)
Symmetry-distinct sites (fractional):
Sm (0.0000, 0.0000, 0.0910) x6
Sm (0.0000, 0.0000, 0.1822) x6
Sm (0.0000, 0.0000, 0.3637) x6
Ho (0.0000, 0.0000, 0.0000) x3
Ho (0.0000, 0.0000, 0.2727) x6
Tm (0.0000, 0.0000, 0.4543) x6



The highest volume belongs to which entry?
Sm6Ho3Tm2